Below is a geometry-optimized Zr4MnAu structure, with properties calculated at the PBE-GGA level.

Structure (CIF):
```
data_Zr4MnAu
_chemical_formula_sum 'Zr4 Mn1 Au1'
_cell_length_a 5.669
_cell_length_b 5.669
_cell_length_c 5.669
_cell_angle_alpha 60.00
_cell_angle_beta 60.00
_cell_angle_gamma 60.00
_space_group_name_H-M_alt 'P 1'
_space_group_IT_number 1
_space_group_name_Hall 'P 1'
loop_
_atom_site_label
_atom_site_fract_x
_atom_site_fract_y
_atom_site_fract_z
_atom_site_occupancy
Zr1 0.374 0.374 0.374 1
Zr2 0.374 0.877 0.374 1
Zr3 0.877 0.374 0.374 1
Zr4 0.374 0.374 0.877 1
Mn1 0.000 0.000 0.000 1
Au1 0.750 0.750 0.750 1
```

Calculated values
**Electronic total energy**: -7.395 eV/atom
**ΔE_f**: 0.378 eV per atom
**Symmetry**: F-43m